[1]
An optimized crystal structure of CoMoPd. Source: OQMD via LeMat-Bulk, functional PBE.

Cell: 4.0439 4.0439 4.0439 Å, 60.00 60.00 60.00°
With the nearest neighbours (Å) after each atom.
Fractional coordinates of all 3 atoms:
Co1 0.0000 0.0000 0.0000  4 Mo 2.48, 4 Pd 2.48
Mo1 0.7500 0.7500 0.7500  4 Co 2.48
Pd1 0.2500 0.2500 0.2500  4 Co 2.48

**Space-group type**: F-43m
**Size of the total moment**: 0.65 μB per cell
**ΔE_f**: 0.513 eV per atom
**Uncorrected energy**: -7.20 eV/atom
**Relative energy among the computed polymorphs**: 0.000 eV/atom



[2]
An optimized crystal structure of LaScCu2As4. Source: OQMD via LeMat-Bulk, functional PBE.

Cell: 3.9171 3.9171 9.9371 Å, 90.00 90.00 90.00°
With the nearest neighbours (Å) after each atom.
Fractional coordinates of all 8 atoms:
La1 0.0000 0.0000 0.0000  8 As 3.03-3.19
Sc1 0.5000 0.5000 0.5271  8 As 2.91-2.93, 4 Cu 3.14
Cu1 0.0000 0.5000 0.2803  4 As 2.50-2.51, 4 Cu 2.77
Cu2 0.5000 0.0000 0.2803  4 As 2.50-2.51, 4 Cu 2.77
As1 0.0000 0.0000 0.4386  4 Cu 2.51
As2 0.0000 0.5000 0.7461  4 As 2.77, 2 Sc 2.93
As3 0.5000 0.0000 0.7461  4 As 2.77, 2 Sc 2.93
As4 0.5000 0.5000 0.1237  4 Cu 2.50

**Space-group type**: P4mm
**Size of the total moment**: 0.00 μB per cell
**Uncorrected energy**: -5.44 eV/atom



[3]
An optimized crystal structure of SrTmTe3Au. Source: OQMD via LeMat-Bulk, functional PBE.

Cell: 8.4321 4.3117 10.4916 Å, 90.00 106.02 90.00°
With the nearest neighbours (Å) after each atom.
Fractional coordinates of all 12 atoms:
Sr1 0.2334 0.2500 0.2869  6 Te 3.34
Sr2 0.7666 0.7500 0.7131  6 Te 3.34
Tm1 0.3109 0.7500 0.8306  6 Te 3.01-3.08
Tm2 0.6891 0.2500 0.1694  6 Te 3.01-3.08
Te1 0.0658 0.2500 0.8548  1 Au 2.77, 2 Tm 3.05
Te2 0.2857 0.7500 0.5388  3 Au 2.88-3.10, 1 Tm 3.01
Te3 0.4242 0.7500 0.1362  3 Tm 3.05-3.08, 2 Sr 3.34
Te4 0.5758 0.2500 0.8638  3 Tm 3.05-3.08, 2 Sr 3.34
Te5 0.7143 0.2500 0.4612  3 Au 2.88-3.10, 1 Tm 3.01
Te6 0.9342 0.7500 0.1452  1 Au 2.77, 2 Tm 3.05
Au1 0.0904 0.2500 0.5974  3 Te 2.77-2.88, 2 Au 3.07
Au2 0.9096 0.7500 0.4026  3 Te 2.77-2.88, 2 Au 3.07

**Space-group type**: P2_1/m
**Size of the total moment**: 0.00 μB per cell
**Uncorrected energy**: -4.31 eV/atom



[4]
An optimized crystal structure of Y2HoGa3AgPt2. Source: OQMD via LeMat-Bulk, functional PBE.

Cell: 3.7214 7.5227 7.5227 Å, 119.96 90.00 90.00°
With the nearest neighbours (Å) after each atom.
Fractional coordinates of all 9 atoms:
Y1 0.0000 0.2038 0.7962  4 Pt 2.95, 6 Ga 3.05-3.29, 1 Ag 3.07
Y2 0.0000 0.7962 0.2038  4 Pt 2.95, 6 Ga 3.05-3.29, 1 Ag 3.07
Ho1 0.0000 0.3878 0.3878  4 Pt 2.93, 2 Ga 3.05, 1 Ag 3.06
Ga1 0.5000 0.0672 0.0672  2 Pt 2.76, 2 Ag 2.77, 2 Ho 3.05
Ga2 0.5000 0.5251 0.7956  2 Ag 2.76, 2 Pt 2.76-2.80, 2 Y 3.05
Ga3 0.5000 0.7956 0.5251  2 Ag 2.76, 2 Pt 2.76-2.80, 2 Y 3.05
Ag1 0.0000 0.7950 0.7950  6 Ga 2.76-2.77, 1 Ho 3.06, 2 Y 3.07
Pt1 0.5000 0.1317 0.4621  3 Ga 2.76-2.80, 2 Ho 2.93, 4 Y 2.95
Pt2 0.5000 0.4621 0.1317  3 Ga 2.76-2.80, 2 Ho 2.93, 4 Y 2.95

**Space-group type**: Amm2
**Size of the total moment**: 0.00 μB per cell
**Uncorrected energy**: -5.51 eV/atom



[5]
An optimized crystal structure of Nb4Tl3W2N3. Source: OQMD via LeMat-Bulk, functional PBE.

Cell: 5.6771 5.6771 14.1615 Å, 101.56 101.56 59.79°
With the nearest neighbours (Å) after each atom.
Fractional coordinates of all 24 atoms:
Nb1 0.0223 0.1965 0.0793  3 N 2.18-2.20
Nb2 0.1431 0.3059 0.4204  3 N 2.17-2.20
Nb3 0.1965 0.0223 0.5793  3 N 2.18-2.20
Nb4 0.3059 0.1431 0.9204  3 N 2.17-2.20
Nb5 0.6941 0.8569 0.0796  3 N 2.17-2.20
Nb6 0.8035 0.9777 0.4207  3 N 2.18-2.20
Nb7 0.8569 0.6941 0.5796  3 N 2.17-2.20
Nb8 0.9777 0.8035 0.9207  3 N 2.18-2.20
Tl1 0.0908 0.9092 0.2500  4 Nb 3.03-3.04, 2 W 3.07, 6 Tl 3.19-3.32
Tl2 0.2596 0.4153 0.7494  4 Nb 3.03-3.04, 2 W 3.07, 6 Tl 3.19-3.32
Tl3 0.4153 0.2596 0.2494  4 Nb 3.03-3.04, 2 W 3.07, 6 Tl 3.19-3.32
Tl4 0.5847 0.7404 0.7506  4 Nb 3.03-3.04, 2 W 3.07, 6 Tl 3.19-3.32
Tl5 0.7404 0.5847 0.2506  4 Nb 3.03-3.04, 2 W 3.07, 6 Tl 3.19-3.32
Tl6 0.9092 0.0908 0.7500  4 Nb 3.03-3.04, 2 W 3.07, 6 Tl 3.19-3.32
W1 0.3591 0.5251 0.0716  3 N 2.12-2.15
W2 0.4749 0.6409 0.4284  3 N 2.12-2.15
W3 0.5251 0.3591 0.5716  3 N 2.12-2.15
W4 0.6409 0.4749 0.9284  3 N 2.12-2.15
N1 0.0000 0.5000 0.0000  2 W 2.15, 4 Nb 2.17-2.18
N2 0.1668 0.6649 0.4996  2 W 2.12-2.13, 4 Nb 2.17-2.20
N3 0.3351 0.8332 0.0004  2 W 2.12-2.13, 4 Nb 2.17-2.20
N4 0.5000 0.0000 0.5000  2 W 2.15, 4 Nb 2.17-2.18
N5 0.6649 0.1668 0.9996  2 W 2.12-2.13, 4 Nb 2.17-2.20
N6 0.8332 0.3351 0.5004  2 W 2.12-2.13, 4 Nb 2.17-2.20

**Space-group type**: C2/c
**Size of the total moment**: 0.00 μB per cell
**Uncorrected energy**: -8.30 eV/atom



[6]
An optimized crystal structure of Zr5AlSi3. Source: OQMD via LeMat-Bulk, functional PBE.

Cell: 8.2577 8.2577 5.6838 Å, 90.00 90.00 120.00°
With the nearest neighbours (Å) after each atom.
Fractional coordinates of all 18 atoms:
Zr1 0.0000 0.2809 0.2500  2 Al 2.72, 5 Si 2.79-2.96
Zr2 0.0000 0.7191 0.7500  2 Al 2.72, 5 Si 2.79-2.96
Zr3 0.2809 0.0000 0.2500  2 Al 2.72, 5 Si 2.79-2.96
Zr4 0.2809 0.2809 0.7500  2 Al 2.72, 5 Si 2.79-2.96
Zr5 0.3333 0.6667 0.0000  2 Zr 2.84, 6 Si 2.94
Zr6 0.3333 0.6667 0.5000  2 Zr 2.84, 6 Si 2.94
Zr7 0.6667 0.3333 0.0000  2 Zr 2.84, 6 Si 2.94
Zr8 0.6667 0.3333 0.5000  2 Zr 2.84, 6 Si 2.94
Zr9 0.7191 0.0000 0.7500  2 Al 2.72, 5 Si 2.79-2.96
Zr10 0.7191 0.7191 0.2500  2 Al 2.72, 5 Si 2.79-2.96
Al1 0.0000 0.0000 0.0000  6 Zr 2.72, 2 Al 2.84
Al2 0.0000 0.0000 0.5000  6 Zr 2.72, 2 Al 2.84
Si1 0.0000 0.3808 0.7500  9 Zr 2.79-2.96
Si2 0.0000 0.6192 0.2500  9 Zr 2.79-2.96
Si3 0.3808 0.0000 0.7500  9 Zr 2.79-2.96
Si4 0.3808 0.3808 0.2500  9 Zr 2.79-2.96
Si5 0.6192 0.0000 0.2500  9 Zr 2.79-2.96
Si6 0.6192 0.6192 0.7500  9 Zr 2.79-2.96

**Space-group type**: P6_3/mcm
**Size of the total moment**: 0.00 μB per cell
**Uncorrected energy**: -7.67 eV/atom



[7]
An optimized crystal structure of Ho2O. Source: OQMD via LeMat-Bulk, functional PBE.

Cell: 5.8333 5.8333 5.8333 Å, 60.00 60.00 60.00°
With the nearest neighbours (Å) after each atom.
Fractional coordinates of all 6 atoms:
Ho1 0.0000 0.0000 0.0000  6 Ho 2.92
Ho2 0.0000 0.0000 0.5000  6 Ho 2.92
Ho3 0.0000 0.5000 0.0000  6 Ho 2.92
Ho4 0.5000 0.0000 0.0000  6 Ho 2.92
O1 0.3750 0.3750 0.3750  12 Ho 3.42, 4 O 3.57
O2 0.6250 0.6250 0.6250  12 Ho 3.42, 4 O 3.57

**Space-group type**: Fd-3m
**Size of the total moment**: 0.01 μB per cell
**Uncorrected energy**: -3.96 eV/atom
**Relative energy among the computed polymorphs**: 2.568 eV/atom



[8]
An optimized crystal structure of NaAuNO. Source: OQMD via LeMat-Bulk, functional PBE.

Cell: 4.1678 4.1678 7.7624 Å, 90.00 90.00 90.00°
With the nearest neighbours (Å) after each atom.
Fractional coordinates of all 8 atoms:
Na1 0.2500 0.2500 0.1203  4 O 2.28, 1 N 2.44
Na2 0.7500 0.7500 0.8797  4 O 2.28, 1 N 2.44
Au1 0.2500 0.7500 0.5000  4 N 2.15
Au2 0.7500 0.2500 0.5000  4 N 2.15
N1 0.2500 0.2500 0.4345  4 Au 2.15
N2 0.7500 0.7500 0.5655  4 Au 2.15
O1 0.2500 0.7500 0.0000  4 Na 2.28
O2 0.7500 0.2500 0.0000  4 Na 2.28

**Space-group type**: P4/nmm
**Uncorrected energy**: -3.83 eV/atom
**Relative energy among the computed polymorphs**: 0.268 eV/atom



[9]
An optimized crystal structure of CsCuPtSeS2. Source: OQMD via LeMat-Bulk, functional PBE.

Cell: 7.9469 7.9469 10.2428 Å, 90.00 90.00 152.64°
With the nearest neighbours (Å) after each atom.
Fractional coordinates of all 12 atoms:
Cs1 0.2470 0.7530 0.7500  2 Se 3.60, 2 Cu 3.65, 6 S 3.67-3.85, 2 Cs 3.76
Cs2 0.7530 0.2470 0.2500  2 Se 3.60, 2 Cu 3.65, 6 S 3.67-3.85, 2 Cs 3.76
Cu1 0.4553 0.5447 0.2500  2 S 2.27, 2 Se 2.42
Cu2 0.5447 0.4553 0.7500  2 S 2.27, 2 Se 2.42
Pt1 0.0000 0.0000 0.0000  4 S 2.44, 2 Se 2.69
Pt2 0.0000 0.0000 0.5000  4 S 2.44, 2 Se 2.69
Se1 0.0538 0.9462 0.2500  2 Cu 2.42, 2 Pt 2.69
Se2 0.9462 0.0538 0.7500  2 Cu 2.42, 2 Pt 2.69
S1 0.4037 0.5963 0.0423  1 Cu 2.27, 2 Pt 2.44
S2 0.4037 0.5963 0.4577  1 Cu 2.27, 2 Pt 2.44
S3 0.5963 0.4037 0.5423  1 Cu 2.27, 2 Pt 2.44
S4 0.5963 0.4037 0.9577  1 Cu 2.27, 2 Pt 2.44

**Space-group type**: Cmcm
**Size of the total moment**: 0.00 μB per cell
**Uncorrected energy**: -4.20 eV/atom



[10]
An optimized crystal structure of Sc4Ta2Sn3N3. Source: OQMD via LeMat-Bulk, functional PBE.

Cell: 5.6349 5.6349 14.5211 Å, 101.09 101.09 60.20°
With the nearest neighbours (Å) after each atom.
Fractional coordinates of all 24 atoms:
Sc1 0.0322 0.1914 0.0856  3 N 2.23-2.24
Sc2 0.1337 0.3054 0.4144  3 N 2.23-2.25
Sc3 0.1914 0.0322 0.5856  3 N 2.23-2.24
Sc4 0.3054 0.1337 0.9144  3 N 2.23-2.25
Sc5 0.6946 0.8663 0.0856  3 N 2.23-2.25
Sc6 0.8086 0.9678 0.4144  3 N 2.23-2.24
Sc7 0.8663 0.6946 0.5856  3 N 2.23-2.25
Sc8 0.9678 0.8086 0.9144  3 N 2.23-2.24
Ta1 0.3554 0.5262 0.0784  3 N 2.16-2.19
Ta2 0.4738 0.6446 0.4216  3 N 2.16-2.19
Ta3 0.5262 0.3554 0.5784  3 N 2.16-2.19
Ta4 0.6446 0.4738 0.9216  3 N 2.16-2.19
Sn1 0.0968 0.9032 0.2500  4 Sc 3.01, 2 Ta 3.02, 6 Sn 3.12-3.33
Sn2 0.2649 0.4159 0.7510  4 Sc 3.02-3.03, 2 Ta 3.03, 6 Sn 3.12-3.33
Sn3 0.4159 0.2649 0.2510  4 Sc 3.02-3.03, 2 Ta 3.03, 6 Sn 3.12-3.33
Sn4 0.5841 0.7351 0.7490  4 Sc 3.02-3.03, 2 Ta 3.03, 6 Sn 3.12-3.33
Sn5 0.7351 0.5841 0.2490  4 Sc 3.02-3.03, 2 Ta 3.03, 6 Sn 3.12-3.33
Sn6 0.9032 0.0968 0.7500  4 Sc 3.01, 2 Ta 3.02, 6 Sn 3.12-3.33
N1 0.0000 0.5000 0.0000  2 Ta 2.16, 4 Sc 2.24-2.25
N2 0.1699 0.6651 0.5000  2 Ta 2.18-2.19, 4 Sc 2.23-2.25
N3 0.3349 0.8301 0.0000  2 Ta 2.18-2.19, 4 Sc 2.23-2.25
N4 0.5000 0.0000 0.5000  2 Ta 2.16, 4 Sc 2.24-2.25
N5 0.6651 0.1699 0.0000  2 Ta 2.18-2.19, 4 Sc 2.23-2.25
N6 0.8301 0.3349 0.5000  2 Ta 2.18-2.19, 4 Sc 2.23-2.25

**Space-group type**: C2/c
**Size of the total moment**: 0.00 μB per cell
**Uncorrected energy**: -8.21 eV/atom



[11]
An optimized crystal structure of YNbTlCo. Source: OQMD via LeMat-Bulk, functional PBE.

Cell: 4.8167 4.8167 4.8167 Å, 60.00 60.00 60.00°
With the nearest neighbours (Å) after each atom.
Fractional coordinates of all 4 atoms:
Y1 0.0000 0.0000 0.0000  4 Nb 2.95, 4 Co 2.95
Nb1 0.2500 0.2500 0.2500  4 Tl 2.95, 4 Y 2.95
Tl1 0.5000 0.5000 0.5000  4 Nb 2.95, 4 Co 2.95
Co1 0.7500 0.7500 0.7500  4 Tl 2.95, 4 Y 2.95

**Space-group type**: F-43m
**Size of the total moment**: 2.00 μB per cell
**Uncorrected energy**: -6.05 eV/atom
**Relative energy among the computed polymorphs**: 0.000 eV/atom



[12]
An optimized crystal structure of GdScPt. Source: OQMD via LeMat-Bulk, functional PBE.

Cell: 4.6022 4.6022 4.6022 Å, 60.00 60.00 60.00°
With the nearest neighbours (Å) after each atom.
Fractional coordinates of all 3 atoms:
Gd1 0.0000 0.0000 0.0000  4 Sc 2.82
Sc1 0.2500 0.2500 0.2500  4 Pt 2.82, 4 Gd 2.82
Pt1 0.5000 0.5000 0.5000  4 Sc 2.82

**Space-group type**: F-43m
**Size of the total moment**: 0.01 μB per cell
**ΔE_f**: -0.224 eV per atom
**Uncorrected energy**: -5.90 eV/atom
**Relative energy among the computed polymorphs**: 0.656 eV/atom